A plane-wave DFT calculation with PBE-GGA was carried out for a relaxed TlTeP2 crystal.

Computed properties:
- Energy above the lowest structure with this stoichiometry: 0.061 eV per atom
- Formation energy (no corrections): 0.0870 eV per atom
- Calculated volume: 308 Å³/cell

Cell and atoms, written as CIF:
```
data_TlTeP2
_space_group_name_H-M_alt 'R 3 m'
_space_group_IT_number 160
_space_group_name_Hall 'R 3 -2"'
_cell_length_a 3.3128
_cell_length_b 3.3128
_cell_length_c 32.3779
_cell_angle_alpha 90.00
_cell_angle_beta 90.00
_cell_angle_gamma 120.00
loop_
_atom_site_label
_atom_site_type_symbol
_atom_site_fract_x
_atom_site_fract_y
_atom_site_fract_z
Tl1 Tl 0.0000 0.0000 0.0000
Te1 Te 0.0000 0.0000 0.2368
P1 P 0.0000 0.0000 0.4657
P2 P 0.0000 0.0000 0.7610
```



A plane-wave DFT calculation with PBE-GGA was carried out for a relaxed PmPr2Dy3S6 crystal.

Computed properties:
- Formation energy (no corrections): -2.0141 eV per atom
- Calculated volume: 541 Å³/cell

Cell and atoms, written as CIF:
```
data_PmPr2Dy3S6
_space_group_name_H-M_alt 'C 1 2/m 1'
_space_group_IT_number 12
_space_group_name_Hall '-C 2y'
_cell_length_a 17.4808
_cell_length_b 3.9561
_cell_length_c 8.0776
_cell_angle_alpha 90.00
_cell_angle_beta 104.54
_cell_angle_gamma 90.00
loop_
_atom_site_label
_atom_site_type_symbol
_atom_site_fract_x
_atom_site_fract_y
_atom_site_fract_z
Pm1 Pm 0.0000 0.0000 0.0000
Pr1 Pr 0.1668 0.5000 0.3335
Dy1 Dy 0.0000 0.0000 0.5000
Dy2 Dy 0.1673 0.5000 0.8333
S1 S 0.0043 0.5000 0.7435
S2 S 0.1625 0.0000 0.5939
S3 S 0.1691 0.0000 0.0716
```



A plane-wave DFT calculation with PBE-GGA was carried out for a relaxed Ho3Ni9Ge2 crystal.

Computed properties:
- Calculated volume: 418 Å³/cell
- DFT total energy: -5.76 eV/atom

Cell and atoms, written as CIF:
```
data_Ho3Ni9Ge2
_space_group_name_H-M_alt 'I m m m'
_space_group_IT_number 71
_space_group_name_Hall '-I 2 2'
_cell_length_a 3.9742
_cell_length_b 8.8813
_cell_length_c 11.8371
_cell_angle_alpha 90.00
_cell_angle_beta 90.00
_cell_angle_gamma 90.00
loop_
_atom_site_label
_atom_site_type_symbol
_atom_site_fract_x
_atom_site_fract_y
_atom_site_fract_z
Ho1 Ho 0.0000 0.0000 0.0000
Ho2 Ho 0.0000 0.0000 0.3072
Ni1 Ni 0.0000 0.2779 0.1183
Ni2 Ni 0.0000 0.3575 0.3219
Ni3 Ni 0.0000 0.5000 0.0000
Ge1 Ge 0.0000 0.2235 0.5000
```



A plane-wave DFT calculation with PBE-GGA was carried out for a relaxed Tb3Cd4Pt4 crystal.

Computed properties:
- Calculated volume: 485 Å³/cell
- DFT total energy: -4.54 eV/atom

Cell and atoms, written as CIF:
```
data_Tb3Cd4Pt4
_space_group_name_H-M_alt 'I m m m'
_space_group_IT_number 71
_space_group_name_Hall '-I 2 2'
_cell_length_a 3.7359
_cell_length_b 8.0640
_cell_length_c 16.1087
_cell_angle_alpha 90.00
_cell_angle_beta 90.00
_cell_angle_gamma 90.00
loop_
_atom_site_label
_atom_site_type_symbol
_atom_site_fract_x
_atom_site_fract_y
_atom_site_fract_z
Tb1 Tb 0.0000 0.0000 0.0000
Tb2 Tb 0.0000 0.5000 0.1081
Cd1 Cd 0.0000 0.3128 0.3338
Pt1 Pt 0.0000 0.0000 0.2551
Pt2 Pt 0.0000 0.2049 0.5000
```



A plane-wave DFT calculation with PBE-GGA was carried out for a relaxed CaGa9Ir2 crystal.

Computed properties:
- Energy above the lowest structure with this stoichiometry: 0.000 eV per atom
- Calculated volume: 227 Å³/cell

Cell and atoms, written as CIF:
```
data_CaGa9Ir2
_space_group_name_H-M_alt 'P 6/m m m'
_space_group_IT_number 191
_space_group_name_Hall '-P 6 2'
_cell_length_a 8.2264
_cell_length_b 8.2264
_cell_length_c 3.8716
_cell_angle_alpha 90.00
_cell_angle_beta 90.00
_cell_angle_gamma 120.00
loop_
_atom_site_label
_atom_site_type_symbol
_atom_site_fract_x
_atom_site_fract_y
_atom_site_fract_z
Ca1 Ca 0.0000 0.0000 0.0000
Ga1 Ga 0.0000 0.5000 0.0000
Ga2 Ga 0.1999 0.3998 0.5000
Ir1 Ir 0.3333 0.6667 0.0000
```



A plane-wave DFT calculation with PBE-GGA was carried out for a relaxed HoInRuPt crystal.

Computed properties:
- Calculated volume: 297 Å³/cell
- DFT total energy: -6.24 eV/atom

Cell and atoms, written as CIF:
```
data_HoInRuPt
_space_group_name_H-M_alt 'F -4 3 m'
_space_group_IT_number 216
_space_group_name_Hall 'F -4 2 3'
_cell_length_a 6.6725
_cell_length_b 6.6725
_cell_length_c 6.6725
_cell_angle_alpha 90.00
_cell_angle_beta 90.00
_cell_angle_gamma 90.00
loop_
_atom_site_label
_atom_site_type_symbol
_atom_site_fract_x
_atom_site_fract_y
_atom_site_fract_z
Ho1 Ho 0.0000 0.0000 0.0000
In1 In 0.0000 0.0000 0.5000
Ru1 Ru 0.2500 0.2500 0.7500
Pt1 Pt 0.2500 0.2500 0.2500
```



A plane-wave DFT calculation with PBE-GGA was carried out for a relaxed Tl2CoHg crystal.

Computed properties:
- Energy above the lowest structure with this stoichiometry: 0.254 eV per atom
- Calculated volume: 92 Å³/cell

Cell and atoms, written as CIF:
```
data_Tl2CoHg
_space_group_name_H-M_alt 'P 1 2/m 1'
_space_group_IT_number 10
_space_group_name_Hall '-P 2y'
_cell_length_a 5.0003
_cell_length_b 3.5251
_cell_length_c 5.6117
_cell_angle_alpha 90.00
_cell_angle_beta 111.38
_cell_angle_gamma 90.00
loop_
_atom_site_label
_atom_site_type_symbol
_atom_site_fract_x
_atom_site_fract_y
_atom_site_fract_z
Tl1 Tl 0.0000 0.0000 0.0000
Tl2 Tl 0.0000 0.5000 0.5000
Co1 Co 0.5000 0.0000 0.5000
Hg1 Hg 0.5000 0.5000 0.0000
```



A plane-wave DFT calculation with PBE-GGA was carried out for a relaxed PuNpMnTc crystal.

Computed properties:
- Calculated volume: 300 Å³/cell
- DFT total energy: -11.52 eV/atom

Cell and atoms, written as CIF:
```
data_PuNpMnTc
_space_group_name_H-M_alt 'F -4 3 m'
_space_group_IT_number 216
_space_group_name_Hall 'F -4 2 3'
_cell_length_a 6.6978
_cell_length_b 6.6978
_cell_length_c 6.6978
_cell_angle_alpha 90.00
_cell_angle_beta 90.00
_cell_angle_gamma 90.00
loop_
_atom_site_label
_atom_site_type_symbol
_atom_site_fract_x
_atom_site_fract_y
_atom_site_fract_z
Pu1 Pu 0.0000 0.0000 0.0000
Np1 Np 0.0000 0.0000 0.5000
Mn1 Mn 0.2500 0.2500 0.2500
Tc1 Tc 0.2500 0.2500 0.7500
```